1.
Material: PrNdTmZn
Method: DFT, GGA-PBE
State: relaxed

a = 3.626 Å, b = 3.626 Å, c = 8.802 Å
α = 90.00°, β = 90.00°, γ = 90.00°
Sites, in units of the cell vectors:
1 Pr 0.000 0.000 0.000
2 Nd 0.500 0.500 0.693
3 Tm 0.500 0.500 0.288
4 Zn 0.000 0.000 0.470

Properties
The spin magnetization is 0.00 μB/atom. Its formation energy is -0.15 eV/atom. Its energy above the most stable polymorph in this dataset is 0.000 eV per atom.

=====

2.
Material: BaTlAg2
Method: DFT, GGA-PBE
State: relaxed

a = 3.856 Å, b = 3.856 Å, c = 7.552 Å
α = 90.00°, β = 90.00°, γ = 90.00°
Sites, in units of the cell vectors:
1 Ba 0.000 0.000 0.000
2 Tl 0.500 0.500 0.330
3 Ag 0.000 0.000 0.533
4 Ag 0.500 0.500 0.713

Properties
The spin magnetization is 0.00 μB/atom. Its formation energy is -0.07 eV/atom. Its energy above the most stable polymorph in this dataset is 0.145 eV per atom.

=====

3.
Material: Pu3ZnRu
Method: DFT, GGA-PBE
State: relaxed

a = 4.794 Å, b = 5.607 Å, c = 7.921 Å
α = 88.10°, β = 77.58°, γ = 66.17°
Sites, in units of the cell vectors:
1 Pu 0.000 0.000 0.000
2 Pu 0.002 0.828 0.296
3 Pu 0.277 0.560 0.855
4 Pu 0.298 0.250 0.242
5 Pu 0.470 0.102 0.931
6 Pu 0.988 0.459 0.652
7 Zn 0.400 0.882 0.568
8 Zn 0.683 0.592 0.095
9 Ru 0.627 0.419 0.409
10 Ru 0.807 0.045 0.631

Properties
The spin magnetization is 0.31 μB/atom. Its formation energy is -0.02 eV/atom.